Sr2AgAu | PBEsol | optimized geometry

Results
ΔH_f (0 K): -0.504 eV/atom
Size of the total moment: 0.0 μB per formula unit

a = 4.6599 Å, b = 4.3046 Å, c = 11.5996 Å
α = 90.00°, β = 90.00°, γ = 90.00°
Space group Amm2 (No. 38)
Inequivalent atoms, fractional coordinates:
Sr 0.0000 0.0000 0.0000
Sr 0.5000 0.0000 0.2797
Ag 0.5000 0.0000 0.5693
Au 0.0000 0.0000 0.7134



Sr2AgAu | PBEsol | optimized geometry

Results
ΔH_f (0 K): -0.277 eV/atom
Size of the total moment: 0.0 μB per formula unit

a = 4.5048 Å, b = 4.5048 Å, c = 10.6994 Å
α = 90.00°, β = 90.00°, γ = 90.00°
Space group I-4m2 (No. 119)
Inequivalent atoms, fractional coordinates:
Sr 0.0000 0.0000 0.0000
Sr 0.0000 0.5000 0.2500
Ag 0.0000 0.0000 0.5000
Au 0.0000 0.5000 0.7500



SrAg2Au | PBEsol | optimized geometry

Results
ΔH_f (0 K): -0.179 eV/atom
Size of the total moment: 0.0 μB per formula unit

a = 6.9746 Å, b = 6.9746 Å, c = 6.9746 Å
α = 90.00°, β = 90.00°, γ = 90.00°
Space group Fm-3m (No. 225)
Inequivalent atoms, fractional coordinates:
Sr 0.0000 0.0000 0.0000
Ag 0.2500 0.2500 0.2500
Au 0.0000 0.0000 0.5000



Ta3AgAu | PBEsol | optimized geometry

Results
ΔH_f (0 K): 1.855 eV/atom
Size of the total moment: 0.0 μB per formula unit

a = 4.8720 Å, b = 4.8720 Å, c = 4.8720 Å
α = 90.00°, β = 90.00°, γ = 90.00°
Space group Pm-3m (No. 221)
Inequivalent atoms, fractional coordinates:
Ta 0.0000 0.0000 0.5000
Ag 0.5000 0.5000 0.5000
Au 0.0000 0.0000 0.0000



TaAg4Au | PBEsol | optimized geometry

Results
ΔH_f (0 K): 0.413 eV/atom
Size of the total moment: 0.0 μB per formula unit

a = 7.4118 Å, b = 7.4118 Å, c = 7.4118 Å
α = 90.00°, β = 90.00°, γ = 90.00°
Space group F-43m (No. 216)
Inequivalent atoms, fractional coordinates:
Ta 0.0000 0.0000 0.0000
Ag 0.1251 0.1251 0.3749
Au 0.2500 0.2500 0.7500



TaAg2WAu | PBEsol | optimized geometry

Results
ΔH_f (0 K): 2.005 eV/atom
Size of the total moment: 0.0 μB per formula unit

a = 4.7533 Å, b = 4.7533 Å, c = 4.8700 Å
α = 90.00°, β = 90.00°, γ = 90.00°
Space group P4/mmm (No. 123)
Inequivalent atoms, fractional coordinates:
Ta 0.0000 0.0000 0.0000
Ag 0.0000 0.5000 0.5000
W 0.5000 0.5000 0.0000
Au 0.5000 0.5000 0.5000



Tc2Ag2Au | PBEsol | optimized geometry

Results
ΔH_f (0 K): 0.577 eV/atom
Size of the total moment: 0.0 μB per formula unit

a = 3.4007 Å, b = 3.4007 Å, c = 14.7460 Å
α = 90.00°, β = 90.00°, γ = 90.00°
Space group I4/mmm (No. 139)
Inequivalent atoms, fractional coordinates:
Tc 0.0000 0.5000 0.2500
Ag 0.0000 0.0000 0.0971
Au 0.0000 0.0000 0.5000



Tc2AgAu | PBEsol | optimized geometry

Results
Energy above the most stable polymorph in this dataset: 0.34 eV per formula unit
ΔH_f (0 K): 0.373 eV/atom
Size of the total moment: 0.0 μB per formula unit

a = 9.1236 Å, b = 2.6597 Å, c = 5.0429 Å
α = 90.00°, β = 97.19°, γ = 90.00°
Space group Cm (No. 8)
Inequivalent atoms, fractional coordinates:
Tc 0.0000 0.0000 0.0000
Tc 0.2469 0.0000 0.8046
Ag 0.4970 0.0000 0.5180
Au 0.2453 0.5000 0.2881



TcAg3Au | PBEsol | optimized geometry

Results
ΔH_f (0 K): 1.572 eV/atom
Size of the total moment: 4.1 μB per formula unit

a = 4.9603 Å, b = 4.9603 Å, c = 4.9603 Å
α = 90.00°, β = 90.00°, γ = 90.00°
Space group Pm-3m (No. 221)
Inequivalent atoms, fractional coordinates:
Tc 0.0000 0.0000 0.0000
Ag 0.0000 0.5000 0.5000
Au 0.5000 0.5000 0.5000



TcAgAu2 | PBEsol | optimized geometry

Results
Energy above the most stable polymorph in this dataset: 0.00 eV per formula unit
ΔH_f (0 K): 0.197 eV/atom
Size of the total moment: 0.0 μB per formula unit

a = 2.8057 Å, b = 2.8057 Å, c = 28.0039 Å
α = 90.00°, β = 90.00°, γ = 120.00°
Space group R-3m (No. 166, hexagonal axes)
Inequivalent atoms, fractional coordinates:
Tc 0.0000 0.0000 0.0000
Ag 0.0000 0.0000 0.5000
Au 0.0000 0.0000 0.2525



Tc2AgAu | PBEsol | optimized geometry

Results
Energy above the most stable polymorph in this dataset: 0.00 eV per formula unit
ΔH_f (0 K): 0.289 eV/atom
Size of the total moment: 0.0 μB per formula unit

a = 2.8699 Å, b = 4.5644 Å, c = 9.4876 Å
α = 90.00°, β = 90.00°, γ = 90.00°
Space group Cmm2 (No. 35)
Inequivalent atoms, fractional coordinates:
Tc 0.0000 0.0000 0.0000
Tc 0.0000 0.5000 0.2190
Ag 0.0000 0.0000 0.4783
Au 0.0000 0.5000 0.7395



TcAgAu2 | PBEsol | optimized geometry

Results
Energy above the most stable polymorph in this dataset: 1.00 eV per formula unit
ΔH_f (0 K): 0.446 eV/atom
Size of the total moment: 2.3 μB per formula unit

a = 4.0752 Å, b = 4.0752 Å, c = 7.8296 Å
α = 90.00°, β = 90.00°, γ = 90.00°
Space group I-4m2 (No. 119)
Inequivalent atoms, fractional coordinates:
Tc 0.0000 0.0000 0.0000
Ag 0.0000 0.5000 0.2500
Au 0.0000 0.0000 0.5000
Au 0.0000 0.5000 0.7500



TcAgAu2 | PBEsol | optimized geometry

Results
Energy above the most stable polymorph in this dataset: 0.32 eV per formula unit
ΔH_f (0 K): 0.275 eV/atom
Size of the total moment: 0.7 μB per formula unit

a = 6.0386 Å, b = 7.8703 Å, c = 2.7014 Å
α = 90.00°, β = 90.00°, γ = 90.00°
Space group Cmmm (No. 65)
Inequivalent atoms, fractional coordinates:
Tc 0.0000 0.0000 0.0000
Ag 0.0000 0.5000 0.0000
Au 0.2500 0.2500 0.5000



AgTeAu2 | PBEsol | optimized geometry

Results
ΔE_f (raw): 0.33 eV/f.u.
Size of the total moment: 0.0 μB per formula unit

a = 4.1791 Å, b = 4.1791 Å, c = 4.3506 Å
α = 90.00°, β = 90.00°, γ = 90.00°
Space group P4/mmm (No. 123)
Inequivalent atoms, fractional coordinates:
Ag 0.0000 0.0000 0.0000
Te 0.5000 0.5000 0.0000
Au 0.0000 0.5000 0.5000



AgTeAu2 | PBEsol | optimized geometry

Results
ΔE_f (raw): 0.20 eV/f.u.
Size of the total moment: 0.0 μB per formula unit

a = 2.9770 Å, b = 3.8595 Å, c = 7.0590 Å
α = 90.00°, β = 90.00°, γ = 90.00°
Space group Pmm2 (No. 25)
Inequivalent atoms, fractional coordinates:
Ag 0.0000 0.0000 0.0000
Te 0.0000 0.5000 0.6984
Au 0.0000 0.0000 0.4069
Au 0.5000 0.5000 0.2036



AgTeAu2 | PBEsol | optimized geometry

Results
ΔE_f (raw): 0.39 eV/f.u.
Size of the total moment: 0.0 μB per formula unit

a = 4.1401 Å, b = 4.1401 Å, c = 8.8455 Å
α = 90.00°, β = 90.00°, γ = 90.00°
Space group I4/mmm (No. 139)
Inequivalent atoms, fractional coordinates:
Ag 0.0000 0.0000 0.0000
Te 0.0000 0.0000 0.5000
Au 0.0000 0.5000 0.2500



AgTeAu2 | PBEsol | optimized geometry

Results
ΔE_f (raw): 0.68 eV/f.u.
Size of the total moment: 0.0 μB per formula unit

a = 2.9879 Å, b = 2.9879 Å, c = 8.8167 Å
α = 90.00°, β = 90.00°, γ = 90.00°
Space group P4mm (No. 99)
Inequivalent atoms, fractional coordinates:
Ag 0.0000 0.0000 0.0000
Te 0.5000 0.5000 0.2730
Au 0.0000 0.0000 0.5621
Au 0.5000 0.5000 0.7824



AgTe2Au | PBEsol | optimized geometry

Results
Energy above the most stable polymorph in this dataset: 0.02 eV per formula unit
ΔE_f (raw): -0.09 eV/f.u.
Size of the total moment: 0.0 μB per formula unit

a = 4.0557 Å, b = 4.2887 Å, c = 11.5374 Å
α = 90.00°, β = 90.00°, γ = 90.00°
Space group Immm (No. 71)
Inequivalent atoms, fractional coordinates:
Ag 0.0000 0.0000 0.0000
Te 0.0000 0.5000 0.1604
Au 0.0000 0.0000 0.5000



AgTe2Au | PBEsol | optimized geometry

Results
Energy above the most stable polymorph in this dataset: 0.00 eV per formula unit
ΔE_f (raw): -0.11 eV/f.u.
Size of the total moment: 0.0 μB per formula unit

a = 4.0358 Å, b = 4.0358 Å, c = 5.7202 Å
α = 90.00°, β = 90.00°, γ = 90.00°
Space group P4/mmm (No. 123)
Inequivalent atoms, fractional coordinates:
Ag 0.0000 0.0000 0.0000
Te 0.0000 0.0000 0.5000
Te 0.5000 0.5000 0.0000
Au 0.5000 0.5000 0.5000



Ag2Te2Au | PBEsol | optimized geometry

Results
ΔE_f (raw): 2.35 eV/f.u.
Size of the total moment: 0.0 μB per formula unit

a = 4.1396 Å, b = 4.1396 Å, c = 14.0872 Å
α = 90.00°, β = 90.00°, γ = 90.00°
Space group I4/mmm (No. 139)
Inequivalent atoms, fractional coordinates:
Ag 0.0000 0.0000 0.0909
Te 0.0000 0.5000 0.2500
Au 0.0000 0.0000 0.5000



AgTe4Au | PBEsol | optimized geometry

Results
ΔE_f (raw): -0.41 eV/f.u.
Size of the total moment: 0.0 μB per formula unit

a = 8.8386 Å, b = 4.3282 Å, c = 10.1213 Å
α = 90.00°, β = 124.42°, γ = 90.00°
Space group P2/c (No. 13)
Inequivalent atoms, fractional coordinates:
Ag 0.0000 0.0076 0.2500
Te 0.1954 0.4792 0.2018
Te 0.3124 0.0694 0.0498
Au 0.5000 0.5000 0.0000



AgTe2Au | PBEsol | optimized geometry

Results
Energy above the most stable polymorph in this dataset: 0.24 eV per formula unit
ΔE_f (raw): 0.12 eV/f.u.
Size of the total moment: 0.0 μB per formula unit

a = 5.6376 Å, b = 5.6376 Å, c = 6.0699 Å
α = 90.00°, β = 90.00°, γ = 90.00°
Space group I4/mmm (No. 139)
Inequivalent atoms, fractional coordinates:
Ag 0.0000 0.0000 0.0000
Te 0.0000 0.5000 0.0000
Au 0.0000 0.0000 0.5000



AgTe2Au | PBEsol | optimized geometry

Results
Energy above the most stable polymorph in this dataset: 0.30 eV per formula unit
ΔE_f (raw): 0.18 eV/f.u.
Size of the total moment: 0.0 μB per formula unit

a = 3.0038 Å, b = 3.9895 Å, c = 8.0130 Å
α = 90.00°, β = 93.14°, γ = 90.00°
Space group P2/m (No. 10)
Inequivalent atoms, fractional coordinates:
Ag 0.0000 0.0000 0.0000
Te 0.0605 0.5000 0.7454
Au 0.0000 0.0000 0.5000



AgTe2Au | PBEsol | optimized geometry

Results
Energy above the most stable polymorph in this dataset: 0.03 eV per formula unit
ΔE_f (raw): -0.08 eV/f.u.
Size of the total moment: 0.0 μB per formula unit

a = 6.9777 Å, b = 4.0270 Å, c = 7.0397 Å
α = 90.00°, β = 109.24°, γ = 90.00°
Space group C2/m (No. 12)
Inequivalent atoms, fractional coordinates:
Ag 0.0000 0.0000 0.0000
Te 0.2475 0.5000 0.2564
Au 0.0000 0.5000 0.5000



TlAgAu4 | PBEsol | optimized geometry

Results
ΔH_f (0 K): 0.050 eV/atom
Size of the total moment: 0.0 μB per formula unit

a = 7.7378 Å, b = 7.7378 Å, c = 7.7378 Å
α = 90.00°, β = 90.00°, γ = 90.00°
Space group F-43m (No. 216)
Inequivalent atoms, fractional coordinates:
Tl 0.0000 0.0000 0.0000
Ag 0.2500 0.2500 0.7500
Au 0.1246 0.1246 0.3754



Y2AgAu2 | PBEsol | optimized geometry

Results
ΔH_f (0 K): -0.702 eV/atom
Size of the total moment: 0.0 μB per formula unit

a = 7.6660 Å, b = 7.6660 Å, c = 3.7477 Å
α = 90.00°, β = 90.00°, γ = 90.00°
Space group P4/mbm (No. 127)
Inequivalent atoms, fractional coordinates:
Y 0.1700 0.3300 0.0000
Ag 0.0000 0.0000 0.5000
Au 0.1308 0.6308 0.5000



YAgAu | PBEsol | optimized geometry

Results
Energy above the most stable polymorph in this dataset: 0.27 eV per formula unit
ΔH_f (0 K): -0.544 eV/atom
Size of the total moment: 0.0 μB per formula unit

a = 4.6488 Å, b = 4.6488 Å, c = 3.3355 Å
α = 90.00°, β = 90.00°, γ = 120.00°
Space group P-6m2 (No. 187)
Inequivalent atoms, fractional coordinates:
Y 0.0000 0.0000 0.0000
Ag 0.6667 0.3333 0.5000
Au 0.3333 0.6667 0.5000



YAgAu2 | PBEsol | optimized geometry

Results
ΔH_f (0 K): -0.469 eV/atom
Size of the total moment: 0.0 μB per formula unit

a = 3.5873 Å, b = 3.5873 Å, c = 6.0615 Å
α = 90.00°, β = 90.00°, γ = 90.00°
Space group P4mm (No. 99)
Inequivalent atoms, fractional coordinates:
Y 0.0000 0.0000 0.0000
Ag 0.5000 0.5000 0.2889
Au 0.0000 0.0000 0.5015
Au 0.5000 0.5000 0.7501



YAgAu | PBEsol | optimized geometry

Results
Energy above the most stable polymorph in this dataset: 1.00 eV per formula unit
ΔH_f (0 K): -0.302 eV/atom
Size of the total moment: 0.0 μB per formula unit

a = 6.5256 Å, b = 6.5256 Å, c = 6.5256 Å
α = 90.00°, β = 90.00°, γ = 90.00°
Space group F-43m (No. 216)
Inequivalent atoms, fractional coordinates:
Y 0.0000 0.0000 0.0000
Ag 0.2500 0.2500 0.2500
Au 0.0000 0.0000 0.5000